[1]
Tl15In4Hg, relaxed, DFT GGA-PBE; SG = P4/mmm, No. 123
1.0
5.004 0.000 0.000
0.000 5.004 0.000
0.000 0.000 23.880
Tl Hg In
15 1 4
direct
0.500 0.000 0.500
0.000 0.500 0.700
0.500 0.500 0.599
0.500 0.000 0.700
0.000 0.500 0.500
0.500 0.500 0.800
0.000 0.500 0.100
0.000 0.500 0.300
0.500 0.000 0.900
0.500 0.000 0.100
0.500 0.000 0.300
0.500 0.500 0.200
0.000 0.500 0.900
0.500 0.500 0.000
0.500 0.500 0.401
0.000 0.000 0.000
0.000 0.000 0.400
0.000 0.000 0.600
0.000 0.000 0.201
0.000 0.000 0.799

***

[2]
TlInHg4, relaxed, DFT GGA-PBE; SG = Cmcm, No. 63
1.0
-4.996 1.024 -1.686
2.726 -0.506 -8.385
1.001 -7.883 0.802
Hg In Tl
8 2 2
direct
0.784 0.578 0.569
0.575 0.750 0.149
0.000 0.000 0.000
0.784 0.922 0.569
0.425 0.250 0.851
0.216 0.422 0.431
0.000 0.500 0.000
0.216 0.078 0.431
0.151 0.750 0.301
0.849 0.250 0.699
0.373 0.750 0.746
0.627 0.250 0.254

***

[3]
Tl6InHg2, relaxed, DFT GGA-PBE; SG = C2/m, No. 12
1.0
0.178 0.981 3.407
3.710 -4.665 2.999
11.604 3.962 0.104
Hg Tl In
2 6 1
direct
0.357 0.090 0.195
0.643 0.910 0.805
0.694 0.207 0.406
0.666 0.547 0.120
0.306 0.793 0.594
0.979 0.688 0.355
0.334 0.453 0.880
0.021 0.312 0.645
0.000 0.000 0.000

***

[4]
Tl5In2Hg5, relaxed, DFT GGA-PBE; SG = P-1, No. 2
1.0
0.040 1.254 5.796
6.166 -4.999 -0.415
0.788 8.329 -3.490
Hg Tl In
5 5 2
direct
0.611 0.170 0.245
0.000 0.000 0.000
0.851 0.677 0.472
0.149 0.323 0.528
0.389 0.830 0.755
0.672 0.333 0.982
0.736 0.524 0.724
0.264 0.476 0.276
0.500 0.000 0.500
0.328 0.667 0.018
0.075 0.153 0.759
0.925 0.847 0.241

***

[5]
TlInHg4, relaxed, DFT GGA-PBE; SG = P-1, No. 2
1.0
5.815 -0.819 1.536
0.448 3.499 0.216
-2.085 -0.161 7.480
Hg Tl In
4 1 1
direct
0.167 0.000 0.155
0.344 0.500 0.835
0.833 0.000 0.845
0.656 0.500 0.165
0.000 0.500 0.500
0.500 0.000 0.500

***

[6]
Tl12In7Hg, relaxed, DFT GGA-PBE; SG = R-3, No. 148
1.0
8.619 0.291 0.436
-2.118 8.360 0.436
-2.117 -2.817 7.883
In Tl Hg
7 12 1
direct
0.087 0.090 0.682
0.090 0.682 0.087
0.682 0.087 0.090
0.913 0.910 0.318
0.500 0.500 0.500
0.910 0.318 0.913
0.318 0.913 0.910
0.336 0.341 0.082
0.659 0.918 0.664
0.239 0.503 0.762
0.762 0.239 0.503
0.497 0.238 0.761
0.503 0.762 0.239
0.664 0.659 0.918
0.238 0.761 0.497
0.341 0.082 0.336
0.918 0.664 0.659
0.761 0.497 0.238
0.082 0.336 0.341
0.000 0.000 0.000

***

| no. | magnetic moment (μB per atom) | E_tot (eV/atom) | energy relative to the elements (meV/atom) |
| --- | --- | --- | --- |
| 1 | 0.00 | -2.296 | 41 |
| 2 | 0.00 | -1.019 | 33 |
| 3 | 0.00 | -1.942 | 7 |
| 4 | 0.00 | -1.558 | 10 |
| 5 | 0.00 | -1.059 | -7 |
| 6 | 0.00 | -2.375 | 18 |